A plane-wave DFT calculation with PBE-GGA was carried out for an optimized crystal structure of CePuMgAg.

Calculated values
Total DFT energy (no corrections) = -24.55 eV/f.u.
DFT formation energy = 0.040 eV/atom

abc: 5.1125 5.1125 5.1125
angles: 60.00 60.00 60.00
Sites, in units of the cell vectors:
Ce  0.0000  0.0000  0.0000
Pu  0.7500  0.7500  0.7500
Mg  0.5000  0.5000  0.5000
Ag  0.2500  0.2500  0.2500